Entry 1:
PrGa3 (meta-GGA SCAN, single point on PBEsol structure); magnetic moment = 0.000 μB per atom; space group = No. 194; formation enthalpy at 0 K = -682 meV per atom
1.0
6.413 0.000 0.000
-3.206 5.554 0.000
0.000 0.000 4.514
Pr Ga
2 6
Cartesian
0.000 3.702 1.128
3.206 1.851 3.385
0.000 1.575 3.385
-1.842 4.766 3.385
1.364 0.788 1.128
1.842 4.766 3.385
5.048 0.788 1.128
3.206 3.978 1.128

---

Entry 2:
TlReTc (meta-GGA SCAN, single point on PBEsol structure); magnetic moment = 0.000 μB per atom; space group = No. 216; offset from the most stable computed form = 0.252 eV per atom; formation enthalpy at 0 K = 1013 meV per atom
1.0
0.000 3.066 3.066
3.066 0.000 3.066
3.066 3.066 0.000
Tl Re Tc
1 1 1
Cartesian
0.000 0.000 0.000
4.599 4.599 4.599
3.066 3.066 3.066

---

Entry 3:
Lu2Pt (meta-GGA SCAN, single point on PBEsol structure); magnetic moment = 0.000 μB per atom; space group = No. 62; formation enthalpy at 0 K = -1259 meV per atom
1.0
6.879 0.000 0.000
0.000 4.598 0.000
0.000 0.000 8.484
Lu Pt
8 4
Cartesian
0.079 1.149 1.440
1.002 1.149 4.902
2.437 3.448 0.660
3.360 3.448 5.682
3.519 1.149 2.802
4.441 1.149 7.824
5.877 3.448 3.582
6.799 3.448 7.044
1.657 1.149 7.667
1.782 3.448 3.425
5.096 1.149 5.059
5.222 3.448 0.817

---

Entry 4:
Mn4CrOs (meta-GGA SCAN, single point on PBEsol structure); magnetic moment = 0.000 μB per atom; space group = No. 216; formation enthalpy at 0 K = 104 meV per atom
1.0
0.000 3.221 3.221
3.221 0.000 3.221
3.221 3.221 0.000
Mn Cr Os
4 1 1
Cartesian
0.803 0.803 0.803
2.417 2.417 0.803
2.417 0.803 2.417
0.803 2.417 2.417
4.831 4.831 4.831
3.221 3.221 3.221